Here is LiAc5Cd4 after structural relaxation from Alexandria via LeMat-Bulk. Energies are from PBE-GGA.

Calculated values
- density (g/cm3) = 7.8
- final energy (eV for the cell shown) = -28.363
- calculated formation energy (meV/atom) = -225

abc: 4.091 4.091 20.229
angles: 90.00 90.00 90.00
Space group P4/mmm (No. 123)
Symmetry-distinct sites (fractional):
Li: 0.000 0.000 0.000 [1 per cell]
Ac: 0.500 0.500 0.101 [2 per cell]
Ac: 0.500 0.500 0.299 [2 per cell]
Ac: 0.500 0.500 0.500 [1 per cell]
Cd: 0.000 0.000 0.198 [2 per cell]
Cd: 0.000 0.000 0.399 [2 per cell]